Entry 1:
EuGdAlPb, relaxed, DFT PBE; total moment = 3.565 μB/atom; space-group type = F-43m (216); ΔH_f (0 K) = -354.9 meV/atom
1.0
-5.294 0.982 -0.530
-3.527 -2.263 3.422
-2.563 3.056 3.655
Pb Eu Gd Al
1 1 1 1
direct
0.250 0.250 0.250
0.000 0.000 0.000
0.500 0.500 0.500
0.750 0.750 0.750

Entry 2:
SmTm3Sc3, relaxed, DFT PBE; total moment = 0.000 μB/atom; energy above the lowest structure with this stoichiometry = 0 kJ/mol of formula units; space-group type = P6_3/m (176); ΔH_f (0 K) = 25.3 meV/atom
1.0
5.416 0.000 0.000
0.000 9.184 0.000
0.000 -4.592 7.953
Sm Tm Sc
2 6 6
direct
0.250 0.667 0.333
0.750 0.333 0.667
0.250 0.806 0.759
0.250 0.241 0.048
0.250 0.952 0.194
0.750 0.194 0.241
0.750 0.759 0.952
0.750 0.048 0.806
0.750 0.616 0.519
0.750 0.481 0.096
0.750 0.904 0.384
0.250 0.384 0.481
0.250 0.519 0.904
0.250 0.096 0.616

Entry 3:
Li3Ho2SiNi12, relaxed, DFT PBE; energy relative to the elements, uncorrected = -0.03 eV/atom; total moment = 0.118 μB/atom; space-group type = R-3m (166)
1.0
-10.007 5.086 2.694
-10.975 3.042 -1.889
-11.308 0.158 2.317
Li Ho Si Ni
3 2 1 12
direct
0.500 0.000 0.000
0.000 0.500 0.000
0.000 0.000 0.500
0.642 0.642 0.642
0.358 0.358 0.358
0.000 0.000 0.000
0.400 0.400 0.872
0.890 0.890 0.384
0.384 0.890 0.890
0.872 0.400 0.400
0.890 0.384 0.890
0.400 0.872 0.400
0.600 0.600 0.128
0.110 0.110 0.616
0.616 0.110 0.110
0.128 0.600 0.600
0.110 0.616 0.110
0.600 0.128 0.600

Entry 4:
Pm6AgS4, relaxed, DFT PBE; energy relative to the elements, uncorrected = -1.52 eV/atom; total moment = 0.046 μB/atom; space-group type = Cmcm (63)
1.0
4.027 0.000 0.000
-2.013 6.694 0.000
0.000 0.000 20.832
Pm Ag S
12 2 8
direct
0.500 0.000 0.000
0.500 0.000 0.500
0.044 0.088 0.340
0.956 0.912 0.660
0.956 0.912 0.840
0.044 0.088 0.160
0.773 0.547 0.418
0.227 0.453 0.582
0.227 0.453 0.918
0.773 0.547 0.082
0.332 0.665 0.250
0.668 0.335 0.750
0.659 0.318 0.250
0.341 0.682 0.750
0.863 0.725 0.540
0.408 0.815 0.123
0.137 0.275 0.460
0.592 0.185 0.877
0.863 0.725 0.960
0.137 0.275 0.040
0.592 0.185 0.623
0.408 0.815 0.377